! Li3CoSn6 GGA-PBE relaxed; values from VASP
&SYSTEM
  ibrav = 0, nat = 20, ntyp = 3
/
ATOMIC_SPECIES
Sn 118.71 Sn.upf
Li 6.94 Li.upf
Co 58.93 Co.upf
CELL_PARAMETERS angstrom
7.156 0.000 0.744
0.000 7.276 0.000
1.112 0.000 8.577
ATOMIC_POSITIONS angstrom
Sn 5.178 1.507 5.607
Sn 3.090 5.769 3.714
Sn 5.426 3.298 2.466
Sn 7.225 5.145 8.375
Sn 2.404 0.340 6.382
Sn 2.843 3.978 6.855
Sn 1.044 2.131 0.946
Sn 5.865 6.936 2.939
Sn 5.851 0.892 8.771
Sn 1.717 2.746 4.111
Sn 6.551 4.530 5.210
Sn 2.417 6.384 0.550
Li 3.445 1.234 2.758
Li 0.689 4.872 1.902
Li 7.579 2.404 7.419
Li 0.556 0.000 4.288
Li 4.823 6.042 6.563
Li 3.578 3.638 0.372
Co 0.000 0.000 0.000
Co 4.134 3.638 4.661
! Calculated formation energy = -0.132 eV per atom
! Density of states at the Fermi level = 10.5 states/eV/cell
! Space-group type = P2_1/c

***

! Al2GaBiBr GGA-PBE relaxed; values from VASP
&SYSTEM
  ibrav = 0, nat = 5, ntyp = 4
/
ATOMIC_SPECIES
Al 26.98 Al.upf
Ga 69.72 Ga.upf
Bi 208.98 Bi.upf
Br 79.90 Br.upf
CELL_PARAMETERS angstrom
5.277 0.000 0.000
0.000 5.412 0.000
0.000 0.000 5.277
ATOMIC_POSITIONS angstrom
Al 2.638 0.000 0.000
Al 0.000 0.000 2.638
Ga 0.000 2.706 0.000
Bi 2.638 2.706 2.638
Br 0.000 0.000 0.000
! ΔE_f (raw) = 0.57 eV/atom
! Density of states at the Fermi level = 3.6 states/eV/cell
! Space-group type = P4/mmm

***

! Tb6Pm2Cd GGA-PBE relaxed; values from VASP
&SYSTEM
  ibrav = 0, nat = 18, ntyp = 3
/
ATOMIC_SPECIES
Tb 158.93 Tb.upf
Pm 145.00 Pm.upf
Cd 112.41 Cd.upf
CELL_PARAMETERS angstrom
-3.460 -2.092 3.664
-2.167 -7.463 -6.307
7.647 -5.615 4.013
ATOMIC_POSITIONS angstrom
Tb -3.040 -7.513 -3.097
Tb 4.155 -11.891 -2.866
Tb -0.641 -10.314 1.631
Tb 0.068 -3.351 -1.849
Tb 1.951 -11.819 3.219
Tb -0.638 -9.675 -2.064
Tb -2.135 -3.279 4.236
Tb 2.660 -4.856 -0.261
Tb 2.437 -8.418 1.556
Tb 2.657 -5.495 3.434
Tb 5.059 -7.657 4.467
Tb -0.418 -6.752 -0.186
Pm 0.289 -6.532 -3.456
Pm 2.157 -11.162 -0.273
Pm 1.730 -8.638 4.827
Pm -0.138 -4.008 1.644
Cd 3.823 -2.808 2.007
Cd -2.814 -4.777 -1.321
! Calculated formation energy = 0.010 eV per atom
! Density of states at the Fermi level = 28.3 states/eV/cell
! Space-group type = Pnnm

***

! CeSi2Ru3 GGA-PBE relaxed; values from VASP
&SYSTEM
  ibrav = 0, nat = 6, ntyp = 3
/
ATOMIC_SPECIES
Si 28.09 Si.upf
Ce 140.12 Ce.upf
Ru 101.07 Ru.upf
CELL_PARAMETERS angstrom
3.611 0.000 0.000
0.000 5.614 0.000
0.000 -2.807 4.862
ATOMIC_POSITIONS angstrom
Si 0.000 0.000 3.241
Si 0.000 2.807 1.621
Ce 0.000 0.000 0.000
Ru 1.806 -1.403 2.431
Ru 1.806 1.403 2.431
Ru 1.806 2.807 0.000
! ΔE_f (raw) = -0.67 eV/atom
! Density of states at the Fermi level = 6.2 states/eV/cell
! Space-group type = P6/mmm

***

! RbNaInI3 GGA-PBE relaxed; values from VASP
&SYSTEM
  ibrav = 0, nat = 12, ntyp = 4
/
ATOMIC_SPECIES
I 126.90 I.upf
In 114.82 In.upf
Na 22.99 Na.upf
Rb 85.47 Rb.upf
CELL_PARAMETERS angstrom
5.232 0.000 0.000
0.000 9.682 -0.003
0.000 -3.746 10.749
ATOMIC_POSITIONS angstrom
I 3.924 3.816 2.044
I 1.308 -2.409 9.508
I 1.308 5.885 5.343
I 3.924 8.345 1.238
I 1.308 2.120 8.702
I 3.924 0.051 5.403
In 3.924 -0.147 9.502
In 1.308 6.083 1.244
Na 1.308 -0.880 6.777
Na 3.924 6.816 3.969
Rb 1.308 1.155 2.595
Rb 3.924 4.781 8.151
! ΔE_f (raw) = -1.03 eV/atom
! Density of states at the Fermi level = 0.0 states/eV/cell
! Space-group type = P2_1/m

***

! La2PuAs4Rh3 GGA-PBE relaxed; values from VASP
&SYSTEM
  ibrav = 0, nat = 10, ntyp = 4
/
ATOMIC_SPECIES
Rh 102.91 Rh.upf
As 74.92 As.upf
La 138.91 La.upf
Pu 244.00 Pu.upf
CELL_PARAMETERS angstrom
-1.056 -3.347 -2.604
2.989 -2.491 1.990
-7.572 -3.272 7.276
ATOMIC_POSITIONS angstrom
Rh -7.291 -4.596 5.197
Rh -3.786 -1.636 3.638
Rh 0.686 -1.595 1.772
As -5.580 -3.857 3.552
As 0.000 0.000 0.000
As -1.025 -2.335 3.416
As 0.967 -2.919 -0.307
La -2.218 -2.404 0.322
La -4.388 -3.788 6.647
Pu -2.820 -4.555 3.331
! Calculated formation energy = -0.911 eV per atom
! Density of states at the Fermi level = 14.4 states/eV/cell
! Space-group type = P-4m2

***

! Na3BeTc GGA-PBE relaxed; values from VASP
&SYSTEM
  ibrav = 0, nat = 5, ntyp = 3
/
ATOMIC_SPECIES
Na 22.99 Na.upf
Be 9.01 Be.upf
Tc 98.00 Tc.upf
CELL_PARAMETERS angstrom
5.207 0.000 0.000
0.000 5.207 0.000
0.000 0.000 5.207
ATOMIC_POSITIONS angstrom
Na 0.000 0.000 2.604
Na 2.604 0.000 0.000
Na 0.000 2.604 0.000
Be 0.000 0.000 0.000
Tc 2.604 2.604 2.604
! Excess energy over the best structure of this formula in the dataset = 0 meV/atom
! Calculated formation energy = 1.460 eV per atom
! Density of states at the Fermi level = 6.2 states/eV/cell
! Space-group type = Pm-3m

***

! Co2NiHRu GGA-PBE relaxed; values from VASP
&SYSTEM
  ibrav = 0, nat = 5, ntyp = 4
/
ATOMIC_SPECIES
Ru 101.07 Ru.upf
H 1.01 H.upf
Ni 58.69 Ni.upf
Co 58.93 Co.upf
CELL_PARAMETERS angstrom
3.647 0.000 0.000
0.000 3.647 0.000
0.000 0.000 3.746
ATOMIC_POSITIONS angstrom
Ru 0.000 0.000 1.873
H 0.000 0.000 0.000
Ni 1.823 1.823 1.873
Co 1.823 0.000 0.000
Co 0.000 1.823 0.000
! Excess energy over the best structure of this formula in the dataset = 0 meV/atom
! Density of states at the Fermi level = 5.5 states/eV/cell
! Space-group type = P4/mmm

***

! PaGa2Sn GGA-PBE relaxed; values from VASP
&SYSTEM
  ibrav = 0, nat = 4, ntyp = 3
/
ATOMIC_SPECIES
Pa 231.04 Pa.upf
Ga 69.72 Ga.upf
Sn 118.71 Sn.upf
CELL_PARAMETERS angstrom
-0.608 2.326 -2.759
-0.467 -2.825 -2.279
-6.374 -0.048 1.364
ATOMIC_POSITIONS angstrom
Pa -3.724 -0.273 -1.837
Ga -1.443 -0.011 0.309
Ga -4.931 -0.037 1.055
Sn -0.537 -0.249 -2.519
! Excess energy over the best structure of this formula in the dataset = 266 meV/atom
! Calculated formation energy = -0.098 eV per atom
! Density of states at the Fermi level = 4.9 states/eV/cell
! Space-group type = P4/mmm

***

! KNa2BiF GGA-PBE relaxed; values from VASP
&SYSTEM
  ibrav = 0, nat = 5, ntyp = 4
/
ATOMIC_SPECIES
Bi 208.98 Bi.upf
F 19.00 F.upf
K 39.10 K.upf
Na 22.99 Na.upf
CELL_PARAMETERS angstrom
-0.312 -6.047 -1.261
3.518 -0.715 2.561
-3.717 -0.824 4.874
ATOMIC_POSITIONS angstrom
Bi -0.256 -3.793 3.087
F 1.759 -0.358 1.281
K 0.000 0.000 0.000
Na -0.156 -3.023 -0.630
Na -1.858 -0.412 2.437
! ΔE_f (raw) = -0.69 eV/atom
! Excess energy over the best structure of this formula in the dataset = 494 meV/atom
! Density of states at the Fermi level = 4.3 states/eV/cell
! Space-group type = P4/mmm

***

! CsH2Br GGA-PBE relaxed; values from VASP
&SYSTEM
  ibrav = 0, nat = 4, ntyp = 3
/
ATOMIC_SPECIES
Br 79.90 Br.upf
H 1.01 H.upf
Cs 132.91 Cs.upf
CELL_PARAMETERS angstrom
0.000 3.724 3.724
3.724 0.000 3.724
3.724 3.724 0.000
ATOMIC_POSITIONS angstrom
Br 0.000 0.000 0.000
H 1.862 1.862 1.862
H 5.586 5.586 5.586
Cs 3.724 3.724 3.724
! Excess energy over the best structure of this formula in the dataset = 1105 meV/atom
! Density of states at the Fermi level = 0.0 states/eV/cell
! Space-group type = Fm-3m

***

! K3Hf2CuSe6 GGA-PBE relaxed; values from VASP
&SYSTEM
  ibrav = 0, nat = 12, ntyp = 4
/
ATOMIC_SPECIES
K 39.10 K.upf
Se 78.96 Se.upf
Hf 178.49 Hf.upf
Cu 63.55 Cu.upf
CELL_PARAMETERS angstrom
6.944 -0.061 0.008
-3.523 5.984 0.008
-1.132 -1.960 7.579
ATOMIC_POSITIONS angstrom
K 1.144 1.981 3.798
K -2.411 4.034 3.798
K 4.699 -0.072 3.798
Se 2.413 -0.027 1.499
Se -1.229 2.077 1.499
Se 0.006 0.011 6.174
Se 3.518 1.886 6.096
Se -0.125 3.990 6.096
Se 2.282 3.952 1.421
Hf -0.048 3.977 0.008
Hf 3.469 1.946 0.008
Cu 0.000 0.000 0.000
! ΔE_f (raw) = -1.14 eV/atom
! Space-group type = C2/m

***

no.,magnetic moment (μB/cell),raw total energy (eV/cell)
1,0.00,-76.4
2,0.00,-13.2
3,0.00,-76.2
4,0.02,-48.7
5,0.00,-31.7
6,5.08,-73.9
7,3.46,-10.7
8,4.70,-32.0
9,0.33,-19.9
10,0.00,-12.9
11,2.00,-8.3
12,0.03,-61.8